DFT (PBE) results for a relaxed structure of NaPaTe3.

* space group: No. 69
* calculated volume: 313.7 Å³ per cell
* raw total energy: -4.78 eV per atom
* offset from the most stable computed form: 46.7 meV per atom
* formation energy without anion corrections: -0.73 eV per atom

Structure (extended XYZ):
```
10
Lattice="-5.058 3.639 0.412 -0.814 -3.637 -5.010 -0.827 -5.773 7.101" Properties=species:S:1:pos:R:3 pbc="T T T"
Na -4.273 -1.066 2.714
Na -2.426 -4.704 -0.212
Pa -1.468 0.001 -1.150
Pa -4.404 0.002 -3.449
Te -2.411 -2.639 -2.971
Te -4.288 -3.131 5.474
Te -0.647 -2.185 0.825
Te -6.051 -3.586 1.677
Te -4.317 -0.925 -0.536
Te -2.382 -4.845 3.039
```

---

DFT (PBE) results for a relaxed structure of BAs2BrF.

* space group: No. 123
* calculated volume: 107.4 Å³ per cell
* raw total energy: -2.88 eV per atom
* offset from the most stable computed form: 524.3 meV per atom
* formation energy without anion corrections: 1.03 eV per atom

Structure (extended XYZ):
```
5
Lattice="-4.218 0.402 -0.737 -0.700 -3.768 1.951 -0.626 2.745 5.077" Properties=species:S:1:pos:R:3 pbc="T T T"
As -0.350 -1.884 0.976
As -2.109 0.201 -0.369
B -2.772 -0.311 3.145
Br -0.313 1.372 2.538
F 0.000 0.000 0.000
```

---

DFT (PBE) results for a relaxed structure of RbTlSb.

* space group: No. 216
* calculated volume: 120.4 Å³ per cell
* raw total energy: -2.58 eV per atom
* offset from the most stable computed form: 198.2 meV per atom
* formation energy without anion corrections: -0.09 eV per atom

Structure (extended XYZ):
```
3
Lattice="5.542 0.000 0.000 2.771 4.800 0.000 2.771 1.600 4.525" Properties=species:S:1:pos:R:3 pbc="T T T"
Sb 0.000 0.000 0.000
Tl 2.771 1.600 1.131
Rb 5.542 3.200 2.263
```

---

DFT (PBE) results for a relaxed structure of PdC2Br.

* space group: No. 225
* calculated volume: 50.3 Å³ per cell
* raw total energy: -3.59 eV per atom
* offset from the most stable computed form: 794.2 meV per atom
* formation energy without anion corrections: 2.73 eV per atom

Structure (extended XYZ):
```
4
Lattice="-0.383 -4.046 -0.808 -3.598 -1.925 0.719 -2.343 -1.266 -3.174" Properties=species:S:1:pos:R:3 pbc="T T T"
C -1.581 -1.809 -0.816
C -4.743 -5.427 -2.447
Br 0.000 0.000 0.000
Pd -3.162 -3.618 -1.632
```

---

DFT (PBE) results for a relaxed structure of ThU3Pa2P6.

* space group: No. 12
* calculated volume: 267.8 Å³ per cell
* calculated formation energy: -1357 kJ/mol of formula units
* raw total energy: -8.90 eV per atom

Structure (extended XYZ):
```
12
Lattice="6.854 0.001 0.000 -3.425 5.937 0.000 -1.144 -1.980 6.580" Properties=species:S:1:pos:R:3 pbc="T T T"
Th 0.000 0.000 0.000
U -2.315 3.976 3.290
U 4.600 -0.018 3.290
U 1.143 1.979 3.290
Pa -0.004 3.961 0.000
Pa 3.433 1.976 0.000
P 3.452 1.933 4.885
P 2.259 3.912 1.677
P -1.166 2.024 1.696
P -0.051 3.956 4.885
P 0.027 0.046 4.904
P 2.336 0.001 1.696
```

---

DFT (PBE) results for a relaxed structure of LaHfH2.

* space group: No. 122
* calculated volume: 126.5 Å³ per cell
* raw total energy: -5.59 eV per atom
* offset from the most stable computed form: 31.4 meV per atom

Structure (extended XYZ):
```
8
Lattice="-3.019 -1.042 -4.420 -2.662 -3.894 2.736 -5.710 0.397 0.443" Properties=species:S:1:pos:R:3 pbc="T T T"
H -3.821 -1.099 -2.564
H -3.295 -2.405 1.523
H -6.260 -1.329 -0.456
H -9.407 -4.245 -0.983
Hf 0.000 0.000 0.000
Hf -5.785 -1.557 -2.409
La -2.840 -2.468 -0.842
La -5.606 -2.982 1.169
```